[1]
# LaTeI2N | the Alexandria database | PBE-GGA | optimized geometry
data_LaTeI2N
_space_group_name_H-M_alt 'P 1'
_space_group_IT_number 1
_cell_length_a 5.192
_cell_length_b 5.192
_cell_length_c 4.798
_cell_angle_alpha 90.00
_cell_angle_beta 90.00
_cell_angle_gamma 90.00
loop_
_space_group_symop_operation_xyz
'x,y,z'
loop_
_atom_site_label
_atom_site_type_symbol
_atom_site_fract_x
_atom_site_fract_y
_atom_site_fract_z
La1 La 0.000 0.000 0.000
Te1 Te 0.500 0.500 0.000
I1 I 0.000 0.500 0.500
I2 I 0.500 0.000 0.500
N1 N 0.500 0.500 0.500
# **Total moment**: 0.1 μB/f.u.
# **Density of states at the Fermi level**: 3.90 states/eV/cell
# **Energy**: -3.8785 eV/atom
# **Offset from the most stable computed form**: 0.360 eV per formula unit



[2]
# LiSb2SI | the Alexandria database | PBE-GGA | optimized geometry
data_LiSb2SI
_space_group_name_H-M_alt 'P 1'
_space_group_IT_number 1
_cell_length_a 5.275
_cell_length_b 5.275
_cell_length_c 5.735
_cell_angle_alpha 90.00
_cell_angle_beta 90.00
_cell_angle_gamma 90.00
loop_
_space_group_symop_operation_xyz
'x,y,z'
loop_
_atom_site_label
_atom_site_type_symbol
_atom_site_fract_x
_atom_site_fract_y
_atom_site_fract_z
Li1 Li 0.000 0.000 0.000
Sb1 Sb 0.000 0.500 0.500
Sb2 Sb 0.500 0.000 0.500
S1 S 0.500 0.500 0.500
I1 I 0.500 0.500 0.000
# **Total moment**: 0.3 μB/f.u.
# **Density of states at the Fermi level**: 5.04 states/eV/cell
# **Energy**: -2.8497 eV/atom
# **Offset from the most stable computed form**: 0.000 eV per formula unit



[3]
# Dy6GaSe8 | the Alexandria database | PBE-GGA | optimized geometry
data_Dy6GaSe8
_space_group_name_H-M_alt 'P 1'
_space_group_IT_number 1
_cell_length_a 8.143
_cell_length_b 8.143
_cell_length_c 8.143
_cell_angle_alpha 60.00
_cell_angle_beta 60.00
_cell_angle_gamma 60.00
loop_
_space_group_symop_operation_xyz
'x,y,z'
loop_
_atom_site_label
_atom_site_type_symbol
_atom_site_fract_x
_atom_site_fract_y
_atom_site_fract_z
Dy1 Dy 0.000 0.000 0.500
Dy2 Dy 0.000 0.500 0.000
Dy3 Dy 0.000 0.500 0.500
Dy4 Dy 0.500 0.000 0.000
Dy5 Dy 0.500 0.000 0.500
Dy6 Dy 0.500 0.500 0.000
Ga1 Ga 0.000 0.000 0.000
Se1 Se 0.250 0.250 0.250
Se2 Se 0.254 0.254 0.746
Se3 Se 0.254 0.746 0.254
Se4 Se 0.254 0.746 0.746
Se5 Se 0.746 0.254 0.254
Se6 Se 0.746 0.254 0.746
Se7 Se 0.746 0.746 0.254
Se8 Se 0.750 0.750 0.750
# **Total moment**: 0.0 μB/f.u.
# **Density of states at the Fermi level**: 4.66 states/eV/cell
# **Energy**: -5.5525 eV/atom



[4]
# Ce2HoErIn4 | the Alexandria database | PBE-GGA | optimized geometry
data_Ce2HoErIn4
_space_group_name_H-M_alt 'P 1'
_space_group_IT_number 1
_cell_length_a 9.320
_cell_length_b 9.320
_cell_length_c 9.320
_cell_angle_alpha 33.52
_cell_angle_beta 33.52
_cell_angle_gamma 33.52
loop_
_space_group_symop_operation_xyz
'x,y,z'
loop_
_atom_site_label
_atom_site_type_symbol
_atom_site_fract_x
_atom_site_fract_y
_atom_site_fract_z
Ce1 Ce 0.250 0.250 0.250
Ce2 Ce 0.750 0.750 0.750
Ho1 Ho 0.000 0.000 0.000
Er1 Er 0.500 0.500 0.500
In1 In 0.125 0.125 0.125
In2 In 0.375 0.375 0.375
In3 In 0.625 0.625 0.625
In4 In 0.875 0.875 0.875
# **Total moment**: 1.9 μB/f.u.
# **Density of states at the Fermi level**: 14.38 states/eV/cell
# **Energy relative to the elements**: -0.39 eV/atom
# **Energy**: -4.3894 eV/atom



[5]
# LaTa2Os2 | the Alexandria database | PBE-GGA | optimized geometry
data_LaTa2Os2
_space_group_name_H-M_alt 'P 1'
_space_group_IT_number 1
_cell_length_a 7.991
_cell_length_b 7.991
_cell_length_c 3.020
_cell_angle_alpha 90.00
_cell_angle_beta 90.00
_cell_angle_gamma 90.00
loop_
_space_group_symop_operation_xyz
'x,y,z'
loop_
_atom_site_label
_atom_site_type_symbol
_atom_site_fract_x
_atom_site_fract_y
_atom_site_fract_z
La1 La 0.000 0.000 0.000
La2 La 0.500 0.500 0.000
Ta1 Ta 0.142 0.358 0.500
Ta2 Ta 0.358 0.858 0.500
Ta3 Ta 0.642 0.142 0.500
Ta4 Ta 0.858 0.642 0.500
Os1 Os 0.143 0.643 0.000
Os2 Os 0.357 0.143 0.000
Os3 Os 0.643 0.857 0.000
Os4 Os 0.857 0.357 0.000
# **Total moment**: 0.0 μB/f.u.
# **Density of states at the Fermi level**: 13.43 states/eV/cell
# **Energy relative to the elements**: 0.04 eV/atom
# **Energy**: -10.1811 eV/atom
# **Offset from the most stable computed form**: 1.654 eV per formula unit



[6]
# As2PbAu | the Alexandria database | PBE-GGA | optimized geometry
data_As2PbAu
_space_group_name_H-M_alt 'P 1'
_space_group_IT_number 1
_cell_length_a 4.782
_cell_length_b 4.782
_cell_length_c 7.742
_cell_angle_alpha 90.00
_cell_angle_beta 90.00
_cell_angle_gamma 90.00
loop_
_space_group_symop_operation_xyz
'x,y,z'
loop_
_atom_site_label
_atom_site_type_symbol
_atom_site_fract_x
_atom_site_fract_y
_atom_site_fract_z
As1 As 0.000 0.000 0.000
As2 As 0.000 0.500 0.250
As3 As 0.500 0.000 0.750
As4 As 0.500 0.500 0.500
Pb1 Pb 0.000 0.000 0.500
Pb2 Pb 0.500 0.500 0.000
Au1 Au 0.000 0.500 0.750
Au2 Au 0.500 0.000 0.250
# **Total moment**: 0.0 μB/f.u.
# **Density of states at the Fermi level**: 4.08 states/eV/cell
# **Energy relative to the elements**: 0.29 eV/atom
# **Energy**: -3.7802 eV/atom



[7]
# YAlIr | the Alexandria database | PBE-GGA | optimized geometry
data_YAlIr
_space_group_name_H-M_alt 'P 1'
_space_group_IT_number 1
_cell_length_a 3.183
_cell_length_b 3.183
_cell_length_c 11.227
_cell_angle_alpha 90.00
_cell_angle_beta 90.00
_cell_angle_gamma 90.00
loop_
_space_group_symop_operation_xyz
'x,y,z'
loop_
_atom_site_label
_atom_site_type_symbol
_atom_site_fract_x
_atom_site_fract_y
_atom_site_fract_z
Y1 Y 0.000 0.000 0.000
Y2 Y 0.500 0.500 0.500
Al1 Al 0.000 0.000 0.710
Al2 Al 0.500 0.500 0.210
Ir1 Ir 0.000 0.000 0.324
Ir2 Ir 0.500 0.500 0.824
# **Total moment**: 0.0 μB/f.u.
# **Density of states at the Fermi level**: 2.82 states/eV/cell
# **Energy relative to the elements**: -0.69 eV/atom
# **Energy**: -7.0423 eV/atom



[8]
# TbAgCO4 | the Alexandria database | PBE-GGA | optimized geometry
data_TbAgCO4
_space_group_name_H-M_alt 'P 1'
_space_group_IT_number 1
_cell_length_a 6.123
_cell_length_b 6.123
_cell_length_c 6.123
_cell_angle_alpha 126.16
_cell_angle_beta 106.03
_cell_angle_gamma 97.69
loop_
_space_group_symop_operation_xyz
'x,y,z'
loop_
_atom_site_label
_atom_site_type_symbol
_atom_site_fract_x
_atom_site_fract_y
_atom_site_fract_z
Tb1 Tb 0.000 0.000 0.000
Tb2 Tb 0.500 0.000 0.500
Ag1 Ag 0.500 0.000 0.000
Ag2 Ag 0.500 0.500 0.500
C1 C 0.115 0.365 0.750
C2 C 0.885 0.635 0.250
O1 O 0.117 0.711 0.406
O2 O 0.194 0.289 0.906
O3 O 0.242 0.259 0.517
O4 O 0.242 0.725 0.983
O5 O 0.758 0.275 0.017
O6 O 0.758 0.741 0.483
O7 O 0.806 0.711 0.094
O8 O 0.883 0.289 0.594
# **Total moment**: 0.0 μB/f.u.
# **Energy**: -6.7338 eV/atom



[9]
# La3Al4Ir4 | the Alexandria database | PBE-GGA | optimized geometry
data_La3Al4Ir4
_space_group_name_H-M_alt 'P 1'
_space_group_IT_number 1
_cell_length_a 6.727
_cell_length_b 6.727
_cell_length_c 6.727
_cell_angle_alpha 109.47
_cell_angle_beta 109.47
_cell_angle_gamma 109.47
loop_
_space_group_symop_operation_xyz
'x,y,z'
loop_
_atom_site_label
_atom_site_type_symbol
_atom_site_fract_x
_atom_site_fract_y
_atom_site_fract_z
La1 La 0.000 0.500 0.500
La2 La 0.500 0.000 0.500
La3 La 0.500 0.500 0.000
Al1 Al 0.000 0.000 0.259
Al2 Al 0.000 0.259 0.000
Al3 Al 0.259 0.000 0.000
Al4 Al 0.741 0.741 0.741
Ir1 Ir 0.000 0.000 0.624
Ir2 Ir 0.000 0.624 0.000
Ir3 Ir 0.376 0.376 0.376
Ir4 Ir 0.624 0.000 0.000
# **Total moment**: 0.0 μB/f.u.
# **Density of states at the Fermi level**: 7.02 states/eV/cell
# **Energy relative to the elements**: -0.72 eV/atom
# **Energy**: -6.6421 eV/atom



[10]
# Y2ThZn9 | the Alexandria database | PBE-GGA | optimized geometry
data_Y2ThZn9
_space_group_name_H-M_alt 'P 1'
_space_group_IT_number 1
_cell_length_a 9.216
_cell_length_b 9.216
_cell_length_c 9.216
_cell_angle_alpha 34.49
_cell_angle_beta 34.49
_cell_angle_gamma 34.49
loop_
_space_group_symop_operation_xyz
'x,y,z'
loop_
_atom_site_label
_atom_site_type_symbol
_atom_site_fract_x
_atom_site_fract_y
_atom_site_fract_z
Y1 Y 0.141 0.141 0.141
Y2 Y 0.859 0.859 0.859
Th1 Th 0.000 0.000 0.000
Zn1 Zn 0.077 0.586 0.586
Zn2 Zn 0.335 0.335 0.335
Zn3 Zn 0.414 0.414 0.923
Zn4 Zn 0.414 0.923 0.414
Zn5 Zn 0.500 0.500 0.500
Zn6 Zn 0.586 0.077 0.586
Zn7 Zn 0.586 0.586 0.077
Zn8 Zn 0.665 0.665 0.665
Zn9 Zn 0.923 0.414 0.414
# **Total moment**: 0.0 μB/f.u.
# **Density of states at the Fermi level**: 7.64 states/eV/cell
# **Energy relative to the elements**: -0.30 eV/atom
# **Energy**: -2.9545 eV/atom



[11]
# Te2RhW | the Alexandria database | PBE-GGA | optimized geometry
data_Te2RhW
_space_group_name_H-M_alt 'P 1'
_space_group_IT_number 1
_cell_length_a 6.724
_cell_length_b 6.724
_cell_length_c 6.724
_cell_angle_alpha 90.00
_cell_angle_beta 90.00
_cell_angle_gamma 90.00
loop_
_space_group_symop_operation_xyz
'x,y,z'
loop_
_atom_site_label
_atom_site_type_symbol
_atom_site_fract_x
_atom_site_fract_y
_atom_site_fract_z
Te1 Te 0.250 0.250 0.250
Te2 Te 0.250 0.250 0.750
Te3 Te 0.250 0.750 0.250
Te4 Te 0.250 0.750 0.750
Te5 Te 0.750 0.250 0.250
Te6 Te 0.750 0.250 0.750
Te7 Te 0.750 0.750 0.250
Te8 Te 0.750 0.750 0.750
Rh1 Rh 0.000 0.000 0.000
Rh2 Rh 0.000 0.500 0.500
Rh3 Rh 0.500 0.000 0.500
Rh4 Rh 0.500 0.500 0.000
W1 W 0.000 0.000 0.500
W2 W 0.000 0.500 0.000
W3 W 0.500 0.000 0.000
W4 W 0.500 0.500 0.500
# **Total moment**: 0.0 μB/f.u.
# **Density of states at the Fermi level**: 23.19 states/eV/cell
# **Energy**: -6.1785 eV/atom
# **Offset from the most stable computed form**: 1.346 eV per formula unit



[12]
# UGeAu4 | the Alexandria database | PBE-GGA | optimized geometry
data_UGeAu4
_space_group_name_H-M_alt 'P 1'
_space_group_IT_number 1
_cell_length_a 5.600
_cell_length_b 5.600
_cell_length_c 5.600
_cell_angle_alpha 60.00
_cell_angle_beta 60.00
_cell_angle_gamma 60.00
loop_
_space_group_symop_operation_xyz
'x,y,z'
loop_
_atom_site_label
_atom_site_type_symbol
_atom_site_fract_x
_atom_site_fract_y
_atom_site_fract_z
U1 U 0.000 0.000 0.000
Ge1 Ge 0.750 0.750 0.750
Au1 Au 0.375 0.375 0.375
Au2 Au 0.375 0.375 0.875
Au3 Au 0.375 0.875 0.375
Au4 Au 0.875 0.375 0.375
# **Total moment**: 2.6 μB/f.u.
# **Density of states at the Fermi level**: 10.87 states/eV/cell
# **Energy relative to the elements**: 0.01 eV/atom
# **Energy**: -4.8238 eV/atom